Record 1
The following is a PBE-GGA calculation of crystalline Dy2ErCl8 at its relaxed geometry, from the Alexandria database.

a = 12.949 Å, b = 7.762 Å, c = 6.495 Å
α = 90.00°, β = 106.64°, γ = 90.00°
Space group C2/m (No. 12)
Unique sites:
Dy: 0.241 0.000 0.002 (multiplicity 4)
Er: 0.000 0.500 0.500 (multiplicity 2)
Cl: 0.124 0.259 0.751 (multiplicity 8)
Cl: 0.125 0.500 0.254 (multiplicity 4)
Cl: 0.127 0.000 0.248 (multiplicity 4)

Calculated values
Formation energy (no corrections) (kJ/mol of formula units): -2190.5

Record 2
The following is a PBE-GGA calculation of crystalline TbScOs at its relaxed geometry, from the Alexandria database.

a = 6.571 Å, b = 6.628 Å, c = 8.198 Å
α = 90.00°, β = 128.47°, γ = 90.00°
Space group P2_1/c (No. 14)
Unique sites:
Tb: 0.234 0.171 0.429 (multiplicity 4)
Sc: 0.273 0.664 0.573 (multiplicity 4)
Os: 0.271 0.518 0.261 (multiplicity 4)

Calculated values
Excess energy over the best structure of this formula in the dataset (meV per atom): 191.0
Formation energy from the elements (eV per formula unit): -0.4

Record 3
The following is a PBE-GGA calculation of crystalline CdRuRh2 at its relaxed geometry, from the Alexandria database.

a = 2.814 Å, b = 4.755 Å, c = 9.376 Å
α = 90.00°, β = 90.00°, γ = 90.00°
Space group Cmmm (No. 65)
Unique sites:
Cd: 0.000 0.000 0.000 (multiplicity 2)
Ru: 0.000 0.000 0.500 (multiplicity 2)
Rh: 0.000 0.500 0.262 (multiplicity 4)

Calculated values
Formation energy from the elements (eV per formula unit): 1.1

DFT total energy / eV/cell: -102.5 -90.5 -47.6
Total magnetic moment / μB per formula unit: 0.00 0.00 1.18
V / A^3/atom: 28.432 23.295 15.684